Entry from the Alexandria database: an optimized crystal structure of HoGa2Si (GGA-PBE).

Energy above the most stable polymorph in this dataset: 191 meV/atom
Energy relative to the elements, uncorrected: -0.934 eV/f.u.
Total DFT energy (no corrections): -4.2470 eV per atom

Cell lengths 4.3061, 4.3061, 14.8205 Å; angles 90.00, 90.00, 120.00 degrees
Space group R-3m (No. 166, hexagonal axes)
Asymmetric unit:
Ho: 0.0000 0.0000 0.0000 (multiplicity 3)
Ga: 0.0000 0.0000 0.2188 (multiplicity 6)
Si: 0.0000 0.0000 0.5000 (multiplicity 3)

Entry from the Alexandria database: an optimized crystal structure of SrTlCd2Mo (GGA-PBE).

Total DFT energy (no corrections): -1.8488 eV per atom

Cell lengths 6.0724, 6.0724, 6.2216 Å; angles 90.00, 90.00, 90.00 degrees
Space group P4/mmm (No. 123)
Asymmetric unit:
Sr: 0.0000 0.0000 0.0000 (multiplicity 1)
Tl: 0.0000 0.0000 0.5000 (multiplicity 1)
Cd: 0.0000 0.5000 0.0000 (multiplicity 2)
Mo: 0.5000 0.5000 0.5000 (multiplicity 1)

Entry from the Alexandria database: an optimized crystal structure of Pm2PuIrN4 (GGA-PBE).

Energy relative to the elements, uncorrected: -6.103 eV/f.u.
Total DFT energy (no corrections): -9.0123 eV per atom

Cell lengths 3.3908, 11.7699, 12.0170 Å; angles 90.00, 90.00, 90.00 degrees
Space group Cmcm (No. 63)
Asymmetric unit:
Pm: 0.0000 0.1305 0.0483 (multiplicity 8)
Pu: 0.0000 0.3859 0.2500 (multiplicity 4)
Ir: 0.0000 0.3517 0.7500 (multiplicity 4)
N: 0.0000 0.0394 0.2500 (multiplicity 4)
N: 0.0000 0.2168 0.6393 (multiplicity 8)
N: 0.0000 0.5000 0.0000 (multiplicity 4)

Entry from the Alexandria database: an optimized crystal structure of Ho2Sc2Hg (GGA-PBE).

Total DFT energy (no corrections): -4.4291 eV per atom

Cell lengths 4.8822, 4.8822, 23.8599 Å; angles 90.00, 90.00, 90.00 degrees
Space group I4_1/amd (No. 141, origin choice 2)
Asymmetric unit:
Ho: 0.0000 0.2500 0.0500 (multiplicity 8)
Sc: 0.0000 0.2500 0.2002 (multiplicity 8)
Hg: 0.0000 0.2500 0.8750 (multiplicity 4)

Entry from the Alexandria database: an optimized crystal structure of NbP2OsCl (GGA-PBE).

Energy above the most stable polymorph in this dataset: 0 meV/atom
Energy relative to the elements, uncorrected: 4.446 eV/f.u.
Total DFT energy (no corrections): -5.9040 eV per atom

Cell lengths 4.5308, 4.5308, 4.9464 Å; angles 90.00, 90.00, 90.00 degrees
Space group P4/mmm (No. 123)
Asymmetric unit:
Nb: 0.0000 0.0000 0.0000 (multiplicity 1)
P: 0.0000 0.5000 0.5000 (multiplicity 2)
Os: 0.5000 0.5000 0.5000 (multiplicity 1)
Cl: 0.5000 0.5000 0.0000 (multiplicity 1)

Entry from the Alexandria database: an optimized crystal structure of CaNb2Rh3 (GGA-PBE).

Total DFT energy (no corrections): -7.7217 eV per atom

Cell lengths 3.1608, 3.1608, 10.7018 Å; angles 90.00, 90.00, 90.00 degrees
Space group P4/mmm (No. 123)
Asymmetric unit:
Ca: 0.0000 0.0000 0.0000 (multiplicity 1)
Nb: 0.0000 0.0000 0.3424 (multiplicity 2)
Rh: 0.5000 0.5000 0.2044 (multiplicity 2)
Rh: 0.5000 0.5000 0.5000 (multiplicity 1)

Entry from the Alexandria database: an optimized crystal structure of PaZn4Au2 (GGA-PBE).

Total DFT energy (no corrections): -3.2140 eV per atom

Cell lengths 4.6313, 17.5303, 3.0906 Å; angles 90.00, 90.00, 90.00 degrees
Space group Cmmm (No. 65)
Asymmetric unit:
Pa: 0.0000 0.0000 0.0000 (multiplicity 2)
Zn: 0.0000 0.1637 0.5000 (multiplicity 4)
Zn: 0.0000 0.2912 0.0000 (multiplicity 4)
Au: 0.0000 0.4180 0.5000 (multiplicity 4)

Entry from the Alexandria database: an optimized crystal structure of Li6ErPb6 (GGA-PBE).

Total DFT energy (no corrections): -3.2178 eV per atom

Cell lengths 5.8767, 9.6224, 10.3089 Å; angles 90.00, 90.00, 90.00 degrees
Space group Immm (No. 71)
Asymmetric unit:
Li: 0.0000 0.2487 0.0000 (multiplicity 4)
Li: 0.2500 0.2500 0.2500 (multiplicity 8)
Er: 0.0000 0.5000 0.5000 (multiplicity 2)
Pb: 0.0000 0.0000 0.1630 (multiplicity 4)
Pb: 0.0000 0.1612 0.5000 (multiplicity 4)
Pb: 0.0000 0.5000 0.1660 (multiplicity 4)